The following is a GGA-PBE calculation of crystalline TaTc2Ag at its relaxed geometry, from the Alexandria database.

Unit cell a=2.7455 b=2.7455 c=9.0748 alpha=90.00 beta=90.00 gamma=107.62
Closest atoms and distances in Å follow each position.
Atoms (fractional coordinates):
Ag  0.0000  0.0000  0.4964  4 Ag 2.75, 2 Tc 2.89, 2 Ta 2.92
Ta  0.5000  0.5000  0.7646  2 Tc 2.73, 4 Ta 2.75, 2 Ag 2.92
Tc  0.0000  0.0000  0.0065  6 Tc 2.61-2.75, 2 Ta 2.73
Tc  0.5000  0.5000  0.2325  6 Tc 2.61-2.75, 2 Ag 2.89

Computed properties:
magnetization = 0.0 μB/f.u.
energy above the lowest structure with this stoichiometry = 0.0969 eV per atom
ΔE_f = 6.28 kcal/mol of atoms